The following is a GGA-PBE calculation of an optimized crystal structure of TlSi2Se, from the Alexandria database.

Cell: 5.2894 5.2894 6.7709 Å, 59.46 59.46 38.45°
Last column: nearest neighbours and their distance in Å.
Element x y z (fractional)
Se1 0.2500 0.2500 0.2500  4 Si 2.65
Tl1 0.7500 0.7500 0.7500  4 Si 3.10
Si1 0.9799 0.9799 0.1376  2 Si 2.48, 2 Se 2.65
Si2 0.5201 0.5201 0.3624  2 Si 2.48, 2 Se 2.65

Values from the calculation:
Calculated density   5.679 Mg/m³
Spin magnetization   0.0 μB/f.u.
E_form (uncorrected)   302 meV per atom
Final energy   -3.872 eV per atom
Energy relative to the lowest polymorph listed for this composition   0.158 eV per atom
Crystal system   monoclinic

The following is a GGA-PBE calculation of an optimized crystal structure of La6Pr3Tm, from the Alexandria database.

Cell: 6.6758 11.2571 11.2571 Å, 121.57 90.00 90.00°
Last column: nearest neighbours and their distance in Å.
Element x y z (fractional)
Pr1 0.9643 0.7057 0.9430  1 Tm 3.35, 6 La 3.41-3.67, 1 Pr 3.64
La1 0.3558 0.9683 0.0317  1 Tm 3.50, 4 La 3.56-3.83, 4 Pr 3.60-3.67
La2 0.5581 0.2855 0.3665  3 Pr 3.53-3.61, 5 La 3.55-3.83
Tm1 0.6084 0.8120 0.1880  2 Pr 3.35, 6 La 3.47-3.63
La3 0.1610 0.7195 0.2805  2 La 3.13, 1 Pr 3.45, 1 Tm 3.50
Tm2 0.1084 0.1880 0.8120  2 Pr 3.35, 6 La 3.47-3.63
La4 0.8558 0.0317 0.9683  1 Tm 3.50, 4 La 3.56-3.83, 4 Pr 3.60-3.67
La5 0.8692 0.4861 0.0713  1 La 3.13, 1 Pr 3.41, 1 Tm 3.47
La6 0.8692 0.9287 0.5139  1 La 3.13, 1 Pr 3.41, 1 Tm 3.47
La7 0.3692 0.0713 0.4861  1 La 3.13, 1 Pr 3.41, 1 Tm 3.47
La8 0.3692 0.5139 0.9287  1 La 3.13, 1 Pr 3.41, 1 Tm 3.47
La9 0.0581 0.3665 0.2855  3 Pr 3.53-3.61, 5 La 3.55-3.83
La10 0.6610 0.2805 0.7195  2 La 3.13, 1 Pr 3.45, 1 Tm 3.50
La11 0.0581 0.7145 0.6335  3 Pr 3.53-3.61, 5 La 3.55-3.83
Pr2 0.4643 0.2943 0.0570  1 Tm 3.35, 6 La 3.41-3.67, 1 Pr 3.64
Pr3 0.9643 0.0570 0.2943  1 Tm 3.35, 6 La 3.41-3.67, 1 Pr 3.64
Pr4 0.0770 0.3848 0.6152  5 La 3.45-3.61, 2 Pr 3.64
La12 0.5581 0.6335 0.7145  3 Pr 3.53-3.61, 5 La 3.55-3.83
Pr5 0.4643 0.9430 0.7057  1 Tm 3.35, 6 La 3.41-3.67, 1 Pr 3.64
Pr6 0.5770 0.6152 0.3848  5 La 3.45-3.61, 2 Pr 3.64

Values from the calculation:
Calculated density   6.567 Mg/m³
Spin magnetization   0.0 μB/f.u.
Final energy   -4.726 eV per atom
Crystal system   orthorhombic
ΔE_f   0.11 eV/atom

> Number 2 is which compound?

La6Pr3Tm